## K5Si (meta-GGA SCAN)

Data for a crystal of K5Si relaxed with PBEsol.

Structure (POSCAR):
```
K5Si
1.0
5.7930 0.0000 0.0000
0.0000 5.8985 0.0000
-2.8965 0.0000 8.1762
K Si
5 1
Direct
0.3645 0.5000 0.7291 K
0.1347 0.0000 0.2694 K
0.0000 0.5000 0.0000 K
0.8653 0.0000 0.7306 K
0.6355 0.5000 0.2709 K
0.5000 0.0000 0.0000 Si
```

Values from the calculation:
Spin magnetization (μB/f.u.): 0.7
Formation energy (no corrections) (eV/f.u.): 1.32
Space-group type: Cmmm